(1)
A plane-wave DFT calculation with PBE was carried out for BaSb2MoI after structural relaxation.

```
5
Lattice="5.2444 0.0000 0.0000 0.0000 5.2444 0.0000 0.0000 0.0000 6.0738" Properties=species:S:1:pos:R:3 pbc="T T T"
I 0.0000 0.0000 3.0369
Sb 0.0000 2.6222 0.0000
Sb 2.6222 0.0000 0.0000
Mo 0.0000 0.0000 0.0000
Ba 2.6222 2.6222 3.0369
```

Results
energy relative to the lowest polymorph listed for this composition	0.00	kJ per mole of atoms
crystal system	tetragonal
formation energy without anion corrections	-1.1	eV/f.u.

(2)
A plane-wave DFT calculation with PBE was carried out for ErPaPd2 after structural relaxation.

```
4
Lattice="3.8988 0.0000 0.0000 1.9494 3.3765 0.0000 1.9494 1.1255 7.1745" Properties=species:S:1:pos:R:3 pbc="T T T"
Pa 0.0000 0.0000 0.0000
Pd 5.8483 3.3765 5.4672
Pd 1.9494 1.1255 1.7072
Er 3.8988 2.2510 3.5872
```

Results
energy relative to the lowest polymorph listed for this composition	7.75	kJ per mole of atoms
crystal system	trigonal